VASP calculation (PBE) on a geometry-optimized PaMn4B2 structure.

Cell lengths 3.608, 3.727, 6.153 Å; angles 107.63, 90.00, 90.00 degrees
Fractional coordinates of all 7 atoms:
Pa (0.000, 0.000, 0.000)
Mn (0.500, 0.821, 0.643)
Mn (0.000, 0.691, 0.382)
Mn (0.500, 0.179, 0.357)
Mn (0.000, 0.309, 0.618)
B (0.500, 0.583, 0.165)
B (0.500, 0.417, 0.835)

Computed properties:
Total moment in μB/atom: 0.000
Energy relative to the elements in eV/atom: -0.30
Total DFT energy (no corrections) in hartree per atom: -0.32367
N(E_F) in states/eV per cell: 5.85
ρ in g cm⁻³: 9.95